First-principles (PBE) data for a relaxed FeCoCl2 crystal, as listed in Alexandria.

Energy relative to the elements, uncorrected ... 259 meV/atom
SG ... R-3m
Total DFT energy (no corrections) ... -18.2 eV for the cell shown

a = 7.3418 Å, b = 7.3418 Å, c = 7.3418 Å
α = 24.86°, β = 24.86°, γ = 24.86°
Last column: nearest neighbours and their distance in Å.
Fractional coordinates of all 4 atoms:
1 Fe 0.7500 0.7500 0.7500  6 Cl 2.57
2 Co 0.2500 0.2500 0.2500  6 Cl 2.53
3 Cl 0.5014 0.5014 0.5014  3 Co 2.53, 3 Fe 2.57
4 Cl 0.9986 0.9986 0.9986  3 Co 2.53, 3 Fe 2.57



First-principles (PBE) data for a relaxed Na2Te3H4 crystal, as listed in Alexandria.

SG ... C2/m
Total DFT energy (no corrections) ... -26.8 eV for the cell shown

a = 5.0443 Å, b = 4.9145 Å, c = 10.8263 Å
α = 84.71°, β = 90.00°, γ = 120.88°
Last column: nearest neighbours and their distance in Å.
Fractional coordinates of all 9 atoms:
1 H 0.1153 0.2307 0.5969  1 Te 1.68
2 H 0.8847 0.7693 0.4031  1 Te 1.68
3 H 0.8372 0.6745 0.1880  1 Te 1.80
4 H 0.1628 0.3255 0.8120  1 Te 1.80
5 Te 0.0000 0.0000 0.0000  2 H 2.33
6 Te 0.7152 0.4304 0.3348  2 H 1.68-1.80
7 Te 0.2848 0.5696 0.6652  2 H 1.68-1.80
8 Na 0.3135 0.6270 0.1261  2 H 2.62
9 Na 0.6865 0.3730 0.8739  2 H 2.62



First-principles (PBE) data for a relaxed Dy3HoGa2 crystal, as listed in Alexandria.

E above lowest polymorph ... 0.106 eV per atom
SG ... C2/m
Total DFT energy (no corrections) ... -52.7 eV for the cell shown

a = 5.0320 Å, b = 9.0735 Å, c = 8.8580 Å
α = 124.17°, β = 90.00°, γ = 106.10°
Last column: nearest neighbours and their distance in Å.
Fractional coordinates of all 12 atoms:
1 Dy 0.3772 0.7544 0.2667  4 Ga 2.83-3.08
2 Dy 0.6874 0.3749 0.3791  2 Ga 2.88-3.06, 2 Dy 3.20
3 Dy 0.9384 0.8768 0.5941  3 Ga 3.20-3.25, 5 Dy 3.40-3.50, 1 Ho 3.51
4 Dy 0.6228 0.2456 0.7333  4 Ga 2.83-3.08
5 Dy 0.0616 0.1232 0.4059  3 Ga 3.20-3.25, 5 Dy 3.40-3.50, 1 Ho 3.51
6 Dy 0.3126 0.6251 0.6209  2 Ga 2.88-3.06, 2 Dy 3.20
7 Ga 0.2280 0.4560 0.8419  5 Dy 2.93-3.20
8 Ga 0.4845 0.9690 0.1200  1 Ga 2.48
9 Ga 0.7720 0.5440 0.1581  5 Dy 2.93-3.20
10 Ga 0.5155 0.0310 0.8800  1 Ga 2.48
11 Ho 0.8715 0.7431 0.9331  5 Ga 3.02-3.32
12 Ho 0.1285 0.2569 0.0669  5 Ga 3.02-3.32



First-principles (PBE) data for a relaxed Mg3SiI crystal, as listed in Alexandria.

E above lowest polymorph ... 0.995 eV per atom
Energy relative to the elements, uncorrected ... 917 meV/atom
SG ... Pm-3m
Total DFT energy (no corrections) ... -7.2 eV for the cell shown

a = 5.4919 Å, b = 5.4919 Å, c = 5.4919 Å
α = 90.00°, β = 90.00°, γ = 90.00°
Last column: nearest neighbours and their distance in Å.
Fractional coordinates of all 5 atoms:
1 Mg 0.0000 0.5000 0.0000  2 I 2.75
2 Mg 0.0000 0.0000 0.5000  2 I 2.75
3 Mg 0.5000 0.0000 0.0000  2 I 2.75
4 Si 0.5000 0.5000 0.5000  12 Mg 3.88
5 I 0.0000 0.0000 0.0000  6 Mg 2.75



First-principles (PBE) data for a relaxed Th2Al3Si crystal, as listed in Alexandria.

Energy relative to the elements, uncorrected ... -501 meV/atom
SG ... Pmm2
Total DFT energy (no corrections) ... -34.5 eV for the cell shown

a = 4.1502 Å, b = 4.3441 Å, c = 7.5085 Å
α = 90.00°, β = 90.00°, γ = 90.00°
Last column: nearest neighbours and their distance in Å.
Fractional coordinates of all 6 atoms:
1 Si 0.5000 0.5000 0.3323  3 Al 2.48-2.49
2 Al 0.5000 0.0000 0.8332  3 Al 2.52-2.53
3 Al 0.5000 0.5000 0.6625  1 Si 2.48, 2 Al 2.52
4 Al 0.5000 0.0000 0.1703  2 Si 2.49, 1 Al 2.53
5 Th 0.0000 0.0000 0.4948  8 Al 3.20-3.28, 4 Si 3.24
6 Th 0.0000 0.5000 0.0069  2 Si 3.21, 10 Al 3.24-3.32



First-principles (PBE) data for a relaxed Na3Tl3ZnF8 crystal, as listed in Alexandria.

Energy relative to the elements, uncorrected ... -2234 meV/atom
SG ... R-3m
Total DFT energy (no corrections) ... -60.8 eV for the cell shown

a = 6.9092 Å, b = 6.9104 Å, c = 7.5091 Å
α = 117.41°, β = 90.00°, γ = 120.00°
Last column: nearest neighbours and their distance in Å.
Fractional coordinates of all 15 atoms:
1 F 0.2073 0.4147 0.6804  1 Zn 2.10
2 F 0.2073 0.9731 0.6803  1 Zn 2.10
3 F 0.7927 0.0269 0.3197  1 Zn 2.10
4 F 0.2687 0.5373 0.3060  3 Na 2.35
5 F 0.7927 0.5853 0.3196  1 Zn 2.10
6 F 0.2342 0.0269 0.3197  1 Zn 2.10
7 F 0.7658 0.9731 0.6803  1 Zn 2.10
8 F 0.7313 0.4627 0.6940  3 Na 2.35
9 Na 0.0000 0.5000 0.5000  6 F 2.35-2.41
10 Na 0.5000 0.0000 0.5000  6 F 2.35-2.41
11 Na 0.5000 0.5000 0.5000  6 F 2.35-2.41
12 Tl 0.0000 0.0000 0.0000  6 F 2.78-2.79
13 Tl 0.0000 0.5000 0.0000  6 F 2.77-2.79
14 Tl 0.5000 0.5000 0.0000  6 F 2.77-2.79
15 Zn 0.0000 0.0000 0.5000  6 F 2.10



First-principles (PBE) data for a relaxed La2CoCuTe crystal, as listed in Alexandria.

Energy relative to the elements, uncorrected ... -548 meV/atom
SG ... P4/mmm
Total DFT energy (no corrections) ... -26.9 eV for the cell shown

a = 5.2684 Å, b = 5.2684 Å, c = 4.5809 Å
α = 90.00°, β = 90.00°, γ = 90.00°
Last column: nearest neighbours and their distance in Å.
Fractional coordinates of all 5 atoms:
1 La 0.5000 0.0000 0.0000  2 Co 2.63
2 La 0.0000 0.5000 0.0000  2 Co 2.63
3 Te 0.5000 0.5000 0.5000  8 La 3.49, 4 Cu 3.73
4 Cu 0.0000 0.0000 0.5000  2 Co 2.29
5 Co 0.0000 0.0000 0.0000  2 Cu 2.29



First-principles (PBE) data for a relaxed YMgCu crystal, as listed in Alexandria.

E above lowest polymorph ... 0.148 eV per atom
SG ... Amm2
Total DFT energy (no corrections) ... -49.5 eV for the cell shown

a = 3.5622 Å, b = 8.4370 Å, c = 8.8436 Å
α = 90.00°, β = 90.00°, γ = 90.00°
Last column: nearest neighbours and their distance in Å.
Fractional coordinates of all 12 atoms:
1 Y 0.0000 0.5988 0.6250  4 Cu 3.08, 6 Mg 3.22-3.23
2 Y 0.0000 0.0988 0.3750  4 Cu 3.08, 6 Mg 3.22-3.23
3 Y 0.0000 0.0987 0.8750  4 Cu 3.08, 6 Mg 3.22-3.23
4 Y 0.0000 0.5987 0.1250  4 Cu 3.08, 6 Mg 3.22-3.23
5 Mg 0.5000 0.7809 0.3750  3 Cu 2.67-2.73
6 Mg 0.5000 0.2809 0.1250  3 Cu 2.67-2.73
7 Mg 0.5000 0.7809 0.8750  3 Cu 2.67-2.73
8 Mg 0.5000 0.2809 0.6250  3 Cu 2.67-2.73
9 Cu 0.5000 0.4574 0.8750  3 Mg 2.67-2.73
10 Cu 0.5000 0.9574 0.1250  3 Mg 2.67-2.73
11 Cu 0.5000 0.9574 0.6250  3 Mg 2.67-2.73
12 Cu 0.5000 0.4574 0.3750  3 Mg 2.67-2.73